Computed, not measured: a relaxed IrPbSe crystal at the PBE level of DFT.

The value obtained for the density of states at the Fermi level is 4.08 states/eV per cell. Its energy relative to the lowest polymorph listed for this composition is 633 meV/atom. Its space-group type is No. 44. The electronic total energy comes out at -0.1759 Ha/atom. The value obtained for the formation energy without anion corrections is 0.565 eV per atom.

Cell and atoms, written as POSCAR:
```
IrPbSe
1.0
-1.898 2.033 4.209
1.898 -2.033 4.209
1.898 2.033 -4.209
Ir Pb Se
1 1 1
Direct
0.000 0.000 0.000
0.636 0.636 0.000
0.295 0.295 0.000
```